Here is crystalline BaZn3Cu at its relaxed geometry from the Alexandria database. Energies are from PBE-GGA.

The formation energy comes out at -126 meV per atom. The value obtained for the energy above the most stable polymorph in this dataset is 0.0000 eV per atom. The calculation puts the density at 6.3 g/cm³.

It has space group Cmcm (No. 63), with a = 6.639 Å, b = 11.961 Å, c = 5.234 Å, α = 90.00°, β = 90.00° and γ = 90.00°. The asymmetric unit holds Ba at (0.000, 0.107, 0.250), Zn at (0.000, 0.304, 0.750), Zn at (0.204, 0.354, 0.250) and Cu at (0.000, 0.500, 0.000).

---

Here is crystalline KZr2Hg at its relaxed geometry from the Alexandria database. Energies are from PBE-GGA.

The formation energy comes out at 654 meV per atom. The calculation puts the density at 6.9 g/cm³.

It has space group P4/mmm (No. 123), with a = 4.529 Å, b = 4.529 Å, c = 4.931 Å, α = 90.00°, β = 90.00° and γ = 90.00°. The asymmetric unit holds K at (0.000, 0.000, 0.000), Zr at (0.000, 0.500, 0.500) and Hg at (0.500, 0.500, 0.000).

---

Here is crystalline YHo2TmSe6 at its relaxed geometry from the Alexandria database. Energies are from PBE-GGA.

Its calculated total energy is -5.950 eV/atom. The calculation puts the density at 6.1 g/cm³.

It has space group R3 (No. 146, hexagonal axes), with a = 7.1625 Å, b = 7.1625 Å, c = 19.3725 Å, α = 90.00°, β = 90.00° and γ = 120.00°. The asymmetric unit holds Y at (0.0000, 0.0000, 0.0000), Ho at (0.0000, 0.0000, 0.3038), Ho at (0.0000, 0.0000, 0.8046), Tm at (0.0000, 0.0000, 0.4988), Se at (0.0016, 0.6971, 0.4023) and Se at (0.0272, 0.3576, 0.5683).